Material: NiH
Method: DFT, GGA-PBE
State: relaxed

Computed properties:
Fermi-level density of states (states/eV per atom): 1.018
Space-group type: No. 223
VASP energy (eV/atom): -4.366
Spin magnetization (μB per formula unit): 0.11

a = 4.712 Å, b = 4.712 Å, c = 4.712 Å
α = 90.00°, β = 90.00°, γ = 90.00°
Element x y z (fractional)
Ni 0.000 0.250 0.500
Ni 0.000 0.750 0.500
Ni 0.250 0.500 0.000
Ni 0.500 0.000 0.250
Ni 0.500 0.000 0.750
Ni 0.750 0.500 0.000
H 0.000 0.500 0.250
H 0.000 0.500 0.750
H 0.250 0.000 0.500
H 0.500 0.250 0.000
H 0.500 0.750 0.000
H 0.750 0.000 0.500